A relaxed LuGaCoCu crystal. Source: Alexandria via LeMat-Bulk, functional PBE-GGA.

Cell and atoms, written as extended XYZ:
```
4
Lattice="4.4198 0.0000 0.0000 2.2099 3.8276 0.0000 2.2099 1.2759 3.6087" Properties=species:S:1:pos:R:3 pbc="T T T"
Ga 4.4198 2.5518 1.8044
Lu 0.0000 0.0000 0.0000
Co 6.6296 3.8276 2.7065
Cu 2.2099 1.2759 0.9022
```

Results
Crystal system: cubic
E_form: -0.259 eV/atom
SG: F-43m, No. 216
VASP energy: -4.947 eV/atom